Entry 1:
Computed, not measured: a relaxed Ta2BeSb crystal at the PBE level of DFT.

Calculated values
Polymorph energy (0 for the lowest one), meV per atom: 242
Space-group type: C2/m

Unit cell a=5.1344 b=5.1344 c=2.9788 alpha=98.99 beta=98.99 gamma=112.32
Fractional coordinates of all 4 atoms:
1 Ta 0.0000 0.5000 0.0000
2 Ta 0.5000 0.0000 0.0000
3 Be 0.0000 0.0000 0.5000
4 Sb 0.5000 0.5000 0.5000

Entry 2:
Computed, not measured: a relaxed Ta2BeSb crystal at the PBE level of DFT.

Calculated values
Polymorph energy (0 for the lowest one), meV per atom: 0
Space-group type: P4mm

Unit cell a=3.4691 b=3.4691 c=5.8106 alpha=90.00 beta=90.00 gamma=90.00
Fractional coordinates of all 4 atoms:
1 Ta 0.0000 0.0000 0.0000
2 Ta 0.5000 0.5000 0.2380
3 Be 0.0000 0.0000 0.4427
4 Sb 0.5000 0.5000 0.7169

Entry 3:
Computed, not measured: a relaxed Ta2BeSb crystal at the PBE level of DFT.

Calculated values
Polymorph energy (0 for the lowest one), meV per atom: 34
Space-group type: Pm

Unit cell a=3.5512 b=3.6961 c=5.4045 alpha=90.00 beta=108.17 gamma=90.00
Fractional coordinates of all 4 atoms:
1 Ta 0.0000 0.0000 0.0000
2 Ta 0.3058 0.5000 0.6641
3 Be 0.5577 0.5000 0.1321
4 Sb 0.7029 0.0000 0.4424

Entry 4:
Computed, not measured: a relaxed TaBeSb crystal at the PBE level of DFT.

Calculated values
Polymorph energy (0 for the lowest one), meV per atom: 245
Space-group type: P3m1

Unit cell a=3.0842 b=3.0842 c=6.5330 alpha=90.00 beta=90.00 gamma=120.00
Fractional coordinates of all 3 atoms:
1 Ta 0.0000 0.0000 0.0000
2 Be 0.6667 0.3333 0.2958
3 Sb 0.3333 0.6667 0.6298

Entry 5:
Computed, not measured: a relaxed TaBeSb2Te crystal at the PBE level of DFT.

Calculated values
Polymorph energy (0 for the lowest one), meV per atom: 0
Space-group type: P4/mmm

Unit cell a=5.3909 b=5.3909 c=5.3383 alpha=90.00 beta=90.00 gamma=90.00
Fractional coordinates of all 5 atoms:
1 Ta 0.0000 0.0000 0.0000
2 Be 0.5000 0.5000 0.5000
3 Sb 0.0000 0.5000 0.0000
4 Sb 0.5000 0.0000 0.0000
5 Te 0.0000 0.0000 0.5000

Entry 6:
Computed, not measured: a relaxed TaBeSbTe2 crystal at the PBE level of DFT.

Calculated values
Polymorph energy (0 for the lowest one), meV per atom: 0
Space-group type: P4/mmm

Unit cell a=5.3653 b=5.3653 c=5.4728 alpha=90.00 beta=90.00 gamma=90.00
Fractional coordinates of all 5 atoms:
1 Ta 0.0000 0.0000 0.0000
2 Be 0.5000 0.5000 0.5000
3 Sb 0.0000 0.0000 0.5000
4 Te 0.0000 0.5000 0.0000
5 Te 0.5000 0.0000 0.0000

Entry 7:
Computed, not measured: a relaxed TaBeSb2Te crystal at the PBE level of DFT.

Calculated values
Polymorph energy (0 for the lowest one), meV per atom: 102
Space-group type: P4/mmm

Unit cell a=4.7694 b=4.7694 c=4.9859 alpha=90.00 beta=90.00 gamma=90.00
Fractional coordinates of all 5 atoms:
1 Ta 0.0000 0.0000 0.0000
2 Be 0.5000 0.5000 0.5000
3 Sb 0.0000 0.5000 0.5000
4 Sb 0.5000 0.0000 0.5000
5 Te 0.5000 0.5000 0.0000

Entry 8:
Computed, not measured: a relaxed TaBeSbTe2 crystal at the PBE level of DFT.

Calculated values
Polymorph energy (0 for the lowest one), meV per atom: 130
Space-group type: P4/mmm

Unit cell a=4.9485 b=4.9485 c=4.6744 alpha=90.00 beta=90.00 gamma=90.00
Fractional coordinates of all 5 atoms:
1 Ta 0.0000 0.0000 0.0000
2 Be 0.5000 0.5000 0.5000
3 Sb 0.5000 0.5000 0.0000
4 Te 0.0000 0.5000 0.5000
5 Te 0.5000 0.0000 0.5000

Entry 9:
Computed, not measured: a relaxed TbBeSb crystal at the PBE level of DFT.

Calculated values
Space-group type: P6_222

Unit cell a=6.3006 b=6.3006 c=11.9050 alpha=90.00 beta=90.00 gamma=120.00
Fractional coordinates of all 18 atoms:
1 Tb 0.0000 0.5000 0.3909
2 Tb 0.0000 0.5000 0.9425
3 Tb 0.5000 0.0000 0.2758
4 Tb 0.5000 0.0000 0.7242
5 Tb 0.5000 0.5000 0.0575
6 Tb 0.5000 0.5000 0.6091
7 Be 0.1805 0.5902 0.1667
8 Be 0.4098 0.5902 0.8333
9 Be 0.4098 0.8195 0.5000
10 Be 0.5902 0.1805 0.5000
11 Be 0.5902 0.4098 0.8333
12 Be 0.8195 0.4098 0.1667
13 Sb 0.0000 0.0000 0.1667
14 Sb 0.0000 0.0000 0.5000
15 Sb 0.0000 0.0000 0.8333
16 Sb 0.0000 0.5000 0.6667
17 Sb 0.5000 0.0000 0.0000
18 Sb 0.5000 0.5000 0.3333

Entry 10:
Computed, not measured: a relaxed BeTc2Sb crystal at the PBE level of DFT.

Calculated values
Polymorph energy (0 for the lowest one), meV per atom: 165
Space-group type: Immm

Unit cell a=4.8578 b=4.8578 c=4.8578 alpha=141.65 beta=123.65 gamma=70.22
Fractional coordinates of all 4 atoms:
1 Be 0.0000 0.0000 0.0000
2 Tc 0.2070 0.7070 0.5000
3 Tc 0.7930 0.2930 0.5000
4 Sb 0.5000 0.5000 0.0000

Raw total energy? In order: -7.55, -7.79, -7.76, -6.07, -4.52, -4.39, -4.41, -4.26, -4.13, -6.96 eV per atom.